[1]
The following is a GGA-PBE calculation of Al2CuGeIr after structural relaxation, from Alexandria.

```
Al2CuGeIr
1.0
4.644 0.000 0.000
0.000 4.858 0.000
0.000 0.000 4.644
Ge Ir Al Cu
1 1 2 1
Direct
0.500 0.500 0.500
0.000 0.000 0.000
0.000 0.000 0.500
0.500 0.000 0.000
0.000 0.500 0.000
```

Results
ρ in Mg/m³: 6.06

***

[2]
The following is a GGA-PBE calculation of Fe3TcPt12 after structural relaxation, from Alexandria.

```
Fe3TcPt12
1.0
-3.102 2.137 1.117
-2.403 -2.590 -1.717
-0.788 -8.130 13.369
Fe Tc Pt
3 1 12
Direct
0.000 0.000 0.251
0.000 0.000 0.500
0.000 0.000 0.749
0.000 0.000 0.000
0.500 0.500 0.000
0.500 0.500 0.251
0.500 0.500 0.500
0.500 0.500 0.749
0.500 0.000 0.127
0.500 0.000 0.375
0.500 0.000 0.625
0.500 0.000 0.873
0.000 0.500 0.127
0.000 0.500 0.375
0.000 0.500 0.625
0.000 0.500 0.873
```

Results
ρ in Mg/m³: 17.90

***

[3]
The following is a GGA-PBE calculation of CrInRu4 after structural relaxation, from Alexandria.

```
CrInRu4
1.0
0.000 3.635 3.635
3.635 0.000 3.635
3.635 3.635 0.000
Cr In Ru
1 1 4
Direct
0.750 0.750 0.750
0.000 0.000 0.000
0.874 0.375 0.375
0.375 0.375 0.874
0.375 0.874 0.375
0.375 0.375 0.375
```

Results
ρ in Mg/m³: 9.87

***

[4]
The following is a GGA-PBE calculation of ZrMn2In after structural relaxation, from Alexandria.

```
ZrMn2In
1.0
-2.912 1.385 -6.618
6.559 -1.172 -3.131
1.182 -2.682 -5.176
Mn Zr In
4 2 2
Direct
0.626 0.125 0.250
0.124 0.625 0.250
0.375 0.374 0.750
0.875 0.876 0.750
0.500 0.500 0.000
0.250 0.750 0.500
0.000 0.000 0.000
0.750 0.250 0.500
```

Results
ρ in Mg/m³: 6.73

***

[5]
The following is a GGA-PBE calculation of NdFeP2Ru after structural relaxation, from Alexandria.

```
NdFeP2Ru
1.0
-3.520 1.196 1.379
0.875 -1.524 3.555
3.366 4.577 -1.079
Nd Fe P Ru
1 1 2 1
Direct
0.000 0.000 0.000
0.750 0.250 0.500
0.636 0.636 0.272
0.364 0.364 0.728
0.250 0.750 0.500
```

Results
ρ in Mg/m³: 7.58

***

[6]
The following is a GGA-PBE calculation of InIrO2F after structural relaxation, from Alexandria.

```
InIrO2F
1.0
3.722 0.000 0.000
0.000 3.722 0.000
0.000 0.000 6.728
F Ir O In
1 1 2 1
Direct
0.000 0.000 0.500
0.000 0.000 0.000
0.000 0.500 0.000
0.500 0.000 0.000
0.500 0.500 0.500
```

Results
ρ in Mg/m³: 6.38
Energy relative to the elements, uncorrected in eV per formula unit: -4.3

***

| no. | Fermi-level density of states (states/eV/f.u.) | volume (Å³/atom) | raw total energy (eV per atom) |
| --- | --- | --- | --- |
| 1 | 2.3 | 21.0 | -4.709 |
| 2 | 18.2 | 15.1 | -6.935 |
| 3 | 9.4 | 16.0 | -7.810 |
| 4 | 3.4 | 19.5 | -6.876 |
| 5 | 2.0 | 15.9 | -7.619 |
| 6 | 4.3 | 18.6 | -5.528 |